a) The following is a meta-GGA SCAN calculation of a PBEsol-optimized structure of Ta3InO9, from the Alexandria database.

Unit cell a=5.1286 b=7.3951 c=8.2634 alpha=90.00 beta=92.01 gamma=90.00
Closest atoms and distances in Å follow each position.
Element x y z (fractional)
In1 0.9737 0.7500 0.5615  6 O 2.19-2.42
In2 0.0263 0.2500 0.4385  6 O 2.19-2.42
O1 0.6705 0.4397 0.8804  2 Ta 1.84-1.98
O2 0.1476 0.9299 0.7846  2 Ta 1.94-2.03
O3 0.6777 0.7500 0.3504  2 Ta 1.98
O4 0.3223 0.2500 0.6496  2 Ta 1.98
O5 0.7447 0.0527 0.5286  2 Ta 2.02-2.18, 1 In 2.20
O6 0.8524 0.0701 0.2154  2 Ta 1.94-2.03
O7 0.8912 0.7500 0.0243  2 Ta 1.94
O8 0.3295 0.5603 0.1196  2 Ta 1.84-1.98
O9 0.6705 0.0603 0.8804  2 Ta 1.84-1.98
O10 0.2553 0.9473 0.4714  2 Ta 2.02-2.18, 1 In 2.20
O11 0.1088 0.2500 0.9757  2 Ta 1.94
O12 0.8524 0.4299 0.2154  2 Ta 1.94-2.03
O13 0.3295 0.9397 0.1196  2 Ta 1.84-1.98
O14 0.6012 0.7500 0.6825  2 Ta 2.02, 1 In 2.19
O15 0.1476 0.5701 0.7846  2 Ta 1.94-2.03
O16 0.3988 0.2500 0.3175  2 Ta 2.02, 1 In 2.19
O17 0.7447 0.4473 0.5286  2 Ta 2.02-2.18, 1 In 2.20
O18 0.2553 0.5527 0.4714  2 Ta 2.02-2.18, 1 In 2.20
Ta1 0.5269 0.5080 0.3044  5 O 1.84-2.02
Ta2 0.0000 0.0000 0.0000  6 O 1.94-2.03
Ta3 0.4731 0.4920 0.6956  5 O 1.84-2.02
Ta4 0.0000 0.5000 0.0000  6 O 1.94-2.03
Ta5 0.5269 0.9920 0.3044  5 O 1.84-2.02
Ta6 0.4731 0.0080 0.6956  5 O 1.84-2.02

Results
Space group = No. 11
Magnetic moment = 0.00 μB/f.u.
N(E_F) = 0.0 states/eV per cell

***

b) The following is a meta-GGA SCAN calculation of a PBEsol-optimized structure of Ta3InO9, from the Alexandria database.

Unit cell a=6.3403 b=7.5220 c=12.3432 alpha=90.00 beta=90.00 gamma=90.00
Closest atoms and distances in Å follow each position.
Element x y z (fractional)
O1 0.5075 0.0538 0.6582  3 Ta 1.99-2.12
O2 0.2958 0.4495 0.0360  1 Ta 1.96
O3 0.9117 0.2500 0.0284  2 Ta 1.99
O4 0.1108 0.4600 0.3344  2 Ta 1.98-2.05
O5 0.2991 0.2500 0.2017  2 Ta 1.90
O6 0.7958 0.0505 0.4640  1 Ta 1.96
O7 0.0883 0.7500 0.9716  2 Ta 1.99
O8 0.8892 0.5400 0.6656  2 Ta 1.98-2.05
O9 0.3892 0.9600 0.8344  2 Ta 1.98-2.05
O10 0.5075 0.4462 0.6582  3 Ta 1.99-2.12
O11 0.5883 0.7500 0.5284  2 Ta 1.99
O12 0.7009 0.7500 0.7983  2 Ta 1.90
O13 0.7042 0.5505 0.9640  1 Ta 1.96
O14 0.6441 0.2500 0.8447  2 Ta 2.01
O15 0.7991 0.2500 0.2983  2 Ta 1.90
O16 0.6108 0.4600 0.1656  2 Ta 1.98-2.05
O17 0.4925 0.5538 0.3418  3 Ta 1.99-2.12
O18 0.8892 0.9600 0.6656  2 Ta 1.98-2.05
O19 0.1441 0.2500 0.6553  2 Ta 2.01
O20 0.4117 0.2500 0.4716  2 Ta 1.99
O21 0.2009 0.7500 0.7017  2 Ta 1.90
O22 0.2042 0.5505 0.5360  1 Ta 1.96
O23 0.6108 0.0400 0.1656  2 Ta 1.98-2.05
O24 0.3559 0.7500 0.1553  2 Ta 2.01
O25 0.0075 0.4462 0.8418  3 Ta 1.99-2.12
O26 0.8559 0.7500 0.3447  2 Ta 2.01
O27 0.7958 0.4495 0.4640  1 Ta 1.96
O28 0.2042 0.9495 0.5360  1 Ta 1.96
O29 0.9925 0.9462 0.1582  3 Ta 1.99-2.12
O30 0.3892 0.5400 0.8344  2 Ta 1.98-2.05
O31 0.4925 0.9462 0.3418  3 Ta 1.99-2.12
O32 0.2958 0.0505 0.0360  1 Ta 1.96
O33 0.7042 0.9495 0.9640  1 Ta 1.96
O34 0.0075 0.0538 0.8418  3 Ta 1.99-2.12
O35 0.9925 0.5538 0.1582  3 Ta 1.99-2.12
O36 0.1108 0.0400 0.3344  2 Ta 1.98-2.05
Ta1 0.3043 0.5026 0.2114  6 O 1.90-2.12
Ta2 0.0000 0.5000 0.0000  6 O 1.96-1.99
Ta3 0.5000 0.5000 0.5000  6 O 1.96-1.99
Ta4 0.5000 0.0000 0.5000  6 O 1.96-1.99
Ta5 0.6957 0.4974 0.7886  6 O 1.90-2.12
Ta6 0.6957 0.0026 0.7886  6 O 1.90-2.12
Ta7 0.0000 0.0000 0.0000  6 O 1.96-1.99
Ta8 0.3043 0.9974 0.2114  6 O 1.90-2.12
Ta9 0.8043 0.9974 0.2886  6 O 1.90-2.12
Ta10 0.1957 0.4974 0.7114  6 O 1.90-2.12
Ta11 0.8043 0.5026 0.2886  6 O 1.90-2.12
Ta12 0.1957 0.0026 0.7114  6 O 1.90-2.12
In1 0.0572 0.2500 0.4659  6 O 2.24-2.40
In2 0.4428 0.7500 0.9659  6 O 2.24-2.40
In3 0.5572 0.2500 0.0341  6 O 2.24-2.40
In4 0.9428 0.7500 0.5341  6 O 2.24-2.40

Results
Space group = No. 62
Magnetic moment = 0.00 μB/f.u.
N(E_F) = 0.0 states/eV per cell

***

Relative energies, kJ/mol of atoms: a) 0.0; b) 3.6.